No. 1
ReHg2Sb: optimized geometry, PBEsol.

Calculated values
Spin magnetization ... 0.00 Bohr magnetons per cell
Formation energy from raw total energies ... 0.493 eV per atom
DFT total energy ... -4.26 eV/atom

Lattice parameters (Å, degrees): 2.8878 4.8329 12.9235 90.00 90.00 90.00
With the nearest neighbours (Å) after each atom.
Space group Imm2 (No. 44)
One atom of each set of equivalent atoms:
Re: 0.0000 0.0000 0.0000 (multiplicity 2)  2 Sb 2.68, 6 Hg 2.82-2.84, 2 Re 2.89
Hg: 0.0000 0.0000 0.4836 (multiplicity 2)  4 Re 2.82, 2 Hg 2.89
Hg: 0.0000 0.5000 0.3110 (multiplicity 2)  2 Re 2.84, 2 Hg 2.89
Sb: 0.0000 0.5000 0.6751 (multiplicity 2)  2 Re 2.68, 2 Sb 2.89

=====

No. 2
Rb2NdBr5: optimized geometry, PBEsol.

Calculated values
Spin magnetization ... 0.33 Bohr magnetons per cell
Formation energy from raw total energies ... -1.857 eV per atom
DFT total energy ... -3.93 eV/atom

Lattice parameters (Å, degrees): 13.5983 9.2244 8.5625 90.00 90.00 90.00
With the nearest neighbours (Å) after each atom.
Space group Pnma (No. 62)
One atom of each set of equivalent atoms:
Rb: 0.1711 0.0065 0.0672 (multiplicity 8)  8 Br 3.39-3.71
Nd: 0.0063 0.2500 0.5759 (multiplicity 4)  7 Br 2.90-3.00
Br: 0.0099 0.2500 0.9170 (multiplicity 4)  1 Nd 2.92
Br: 0.0693 0.5457 0.6695 (multiplicity 8)  2 Nd 2.97-3.00
Br: 0.1825 0.2500 0.3861 (multiplicity 4)  1 Nd 2.90
Br: 0.2017 0.7500 0.3502 (multiplicity 4)  1 Nd 2.90

=====

No. 3
Zn2CrGeMo: optimized geometry, PBEsol.

Calculated values
Energy of formation from the pure elements ... 1.288 eV/atom
Spin magnetization ... 0.06 Bohr magnetons per cell
DFT total energy ... -4.73 eV/atom

Lattice parameters (Å, degrees): 4.4767 4.4767 4.5632 90.00 90.00 90.00
With the nearest neighbours (Å) after each atom.
Space group P4/mmm (No. 123)
One atom of each set of equivalent atoms:
Zn: 0.0000 0.5000 0.0000 (multiplicity 2)  2 Ge 2.24
Cr: 0.0000 0.0000 0.5000 (multiplicity 1)  2 Ge 2.28
Ge: 0.0000 0.0000 0.0000 (multiplicity 1)  4 Zn 2.24, 2 Cr 2.28
Mo: 0.5000 0.5000 0.5000 (multiplicity 1)  4 Cr 3.17, 8 Zn 3.20